NiMo2Pb: optimized geometry, PBE.

Unit cell a=2.9875 b=4.0172 c=5.6903 alpha=90.00 beta=90.00 gamma=90.00
Closest atoms and distances in Å follow each position.
Atoms (fractional coordinates):
1 Ni 0.0000 0.0000 0.0000  8 Mo 2.76, 2 Pb 2.85, 2 Ni 2.99
2 Mo 0.5000 0.5000 0.2032  1 Mo 2.31
3 Mo 0.5000 0.5000 0.7968  1 Mo 2.31
4 Pb 0.0000 0.0000 0.5000  2 Ni 2.85, 2 Pb 2.99, 8 Mo 3.02

Total magnetization (μB/f.u.): 0.00
Space-group type: No. 47
Formation energy (meV per atom): 507.0
Density of states at the Fermi level (states/eV per cell): 3.073